1.
{
  "formula": "UAs",
  "functional": "SCAN",
  "state": "PBEsol geometry",
  "cell": [[4.009, 0.000, 0.000], [2.005, 3.472, 0.000], [2.005, 1.157, 3.274]],
  "species": ["As", "U"],
  "fractional_positions": [[0.000, 0.000, 0.000], [0.500, 0.500, 0.500]],
  "total_energy_ha_per_atom": -2.2944,
  "dos_ef_per_ev_cell": 6.72
}

=====

2.
{
  "formula": "U3As4",
  "functional": "SCAN",
  "state": "PBEsol geometry",
  "cell": [[7.360, 0.000, 0.000], [-2.453, 6.939, 0.000], [-2.453, -3.469, 6.009]],
  "species": ["U", "U", "U", "U", "U", "U", "As", "As", "As", "As", "As", "As", "As", "As"],
  "fractional_positions": [[0.125, 0.875, 0.250], [0.625, 0.250, 0.875], [0.875, 0.750, 0.625], [0.250, 0.375, 0.125], [0.750, 0.125, 0.375], [0.375, 0.625, 0.750], [0.342, 0.000, 0.000], [0.500, 0.842, 0.500], [0.000, 0.500, 0.342], [0.658, 0.658, 0.158], [0.000, 0.500, 0.842], [0.158, 0.158, 0.658], [0.842, 0.000, 0.000], [0.500, 0.342, 0.500]],
  "total_energy_ha_per_atom": -2.0794,
  "dos_ef_per_ev_cell": 21.11
}

=====

| no. | DFT formation energy (eV per atom) |
| --- | --- |
| 1 | -0.574 |
| 2 | -0.676 |